Entry 1:
Here is an optimized crystal structure of Hf2CuAgIr from the Alexandria database. Energies are from PBE-GGA.

Cell lengths 4.994, 4.994, 4.429 Å; angles 90.00, 90.00, 90.00 degrees
Space group P4/mmm (No. 123)
Asymmetric unit:
Hf: 0.000 0.500 0.000
Cu: 0.000 0.000 0.500
Ag: 0.000 0.000 0.000
Ir: 0.500 0.500 0.500

Its volume is 110.48 Å³/f.u. The formation enthalpy at 0 K comes out at 5.9 eV/f.u.

Entry 2:
Here is an optimized crystal structure of LiHfCuAg from the Alexandria database. Energies are from PBE-GGA.

Cell lengths 6.438, 6.438, 6.438 Å; angles 90.00, 90.00, 90.00 degrees
Space group F-43m (No. 216)
Asymmetric unit:
Li: 0.000 0.000 0.000
Hf: 0.000 0.000 0.500
Cu: 0.250 0.250 0.750
Ag: 0.250 0.250 0.250

Its volume is 66.71 Å³/f.u. The formation enthalpy at 0 K comes out at 0.1 eV/f.u.

Entry 3:
Here is an optimized crystal structure of HfMg2CuAg from the Alexandria database. Energies are from PBE-GGA.

Cell lengths 5.634, 5.634, 4.798 Å; angles 90.00, 90.00, 90.00 degrees
Space group P4/mmm (No. 123)
Asymmetric unit:
Hf: 0.000 0.000 0.000
Mg: 0.000 0.500 0.000
Cu: 0.000 0.000 0.500
Ag: 0.500 0.500 0.500

Its volume is 152.28 Å³/f.u. The formation enthalpy at 0 K comes out at 6.2 eV/f.u.

Entry 4:
Here is an optimized crystal structure of HfCuAg2Mo from the Alexandria database. Energies are from PBE-GGA.

Cell lengths 4.950, 4.950, 4.531 Å; angles 90.00, 90.00, 90.00 degrees
Space group P4/mmm (No. 123)
Asymmetric unit:
Hf: 0.000 0.000 0.000
Cu: 0.500 0.500 0.000
Ag: 0.000 0.500 0.500
Mo: 0.500 0.500 0.500

Its volume is 111.04 Å³/f.u. The formation enthalpy at 0 K comes out at 7.5 eV/f.u.

Entry 5:
Here is an optimized crystal structure of HfNb2CuAg from the Alexandria database. Energies are from PBE-GGA.

Cell lengths 4.894, 4.894, 4.831 Å; angles 90.00, 90.00, 90.00 degrees
Space group P4/mmm (No. 123)
Asymmetric unit:
Hf: 0.000 0.000 0.000
Nb: 0.000 0.500 0.000
Cu: 0.000 0.000 0.500
Ag: 0.500 0.500 0.500

Its volume is 115.72 Å³/f.u. The formation enthalpy at 0 K comes out at 7.6 eV/f.u.

Entry 6:
Here is an optimized crystal structure of HfCuAg2O4 from the Alexandria database. Energies are from PBE-GGA.

Cell lengths 5.862, 5.862, 6.379 Å; angles 90.00, 90.00, 90.00 degrees
Space group I-4 (No. 82)
Asymmetric unit:
Hf: 0.000 0.000 0.000
Cu: 0.000 0.500 0.250
Ag: 0.000 0.000 0.500
Ag: 0.000 0.500 0.750
O: 0.165 0.216 0.185

Its volume is 109.59 Å³/f.u. The value obtained for the total energy is -99.44 eV/cell.

Entry 7:
Here is an optimized crystal structure of Hf2CuAgRu from the Alexandria database. Energies are from PBE-GGA.

Cell lengths 4.865, 4.865, 4.757 Å; angles 90.00, 90.00, 90.00 degrees
Space group P4/mmm (No. 123)
Asymmetric unit:
Hf: 0.000 0.500 0.000
Cu: 0.000 0.000 0.500
Ag: 0.500 0.500 0.500
Ru: 0.000 0.000 0.000

Its volume is 112.60 Å³/f.u. The formation enthalpy at 0 K comes out at 2.5 eV/f.u.

Entry 8:
Here is an optimized crystal structure of Hf3CuAg3S8 from the Alexandria database. Energies are from PBE-GGA.

Cell lengths 12.729, 7.361, 7.790 Å; angles 90.00, 123.29, 90.00 degrees
Space group C2/m (No. 12)
Asymmetric unit:
Hf: 0.000 0.000 0.000
Hf: 0.250 0.250 0.000
Cu: 0.000 0.500 0.000
Ag: 0.000 0.500 0.500
Ag: 0.250 0.250 0.500
S: 0.010 0.248 0.781
S: 0.239 0.500 0.217
S: 0.242 0.000 0.223

Its volume is 305.06 Å³/f.u. The value obtained for the total energy is -175.58 eV/cell.

Entry 9:
Here is an optimized crystal structure of Hf2CuAg2Se6 from the Alexandria database. Energies are from PBE-GGA.

Cell lengths 6.609, 11.444, 6.635 Å; angles 90.00, 90.13, 90.00 degrees
Space group C2/m (No. 12)
Asymmetric unit:
Hf: 0.000 0.167 0.000
Cu: 0.000 0.500 0.000
Ag: 0.000 0.166 0.500
Se: 0.162 0.338 0.771
Se: 0.176 0.000 0.772

Its volume is 250.92 Å³/f.u. The value obtained for the total energy is -116.50 eV/cell.

Entry 10:
Here is an optimized crystal structure of Hf2TaCuAg from the Alexandria database. Energies are from PBE-GGA.

Cell lengths 5.042, 5.042, 4.503 Å; angles 90.00, 90.00, 90.00 degrees
Space group P4/mmm (No. 123)
Asymmetric unit:
Hf: 0.000 0.500 0.000
Ta: 0.000 0.000 0.500
Cu: 0.500 0.500 0.500
Ag: 0.500 0.500 0.000

Its volume is 114.48 Å³/f.u. The formation enthalpy at 0 K comes out at 6.7 eV/f.u.

Entry 11:
Here is an optimized crystal structure of Hf2CuAg2Te6 from the Alexandria database. Energies are from PBE-GGA.

Cell lengths 7.070, 12.533, 7.726 Å; angles 90.00, 114.05, 90.00 degrees
Space group C2/m (No. 12)
Asymmetric unit:
Hf: 0.000 0.180 0.000
Cu: 0.000 0.500 0.000
Ag: 0.000 0.340 0.500
Te: 0.217 0.166 0.755
Te: 0.217 0.500 0.798

Its volume is 312.59 Å³/f.u. The value obtained for the total energy is -104.64 eV/cell.

Entry 12:
Here is an optimized crystal structure of HfTlCuAg2 from the Alexandria database. Energies are from PBE-GGA.

Cell lengths 5.381, 5.381, 5.031 Å; angles 90.00, 90.00, 90.00 degrees
Space group P4/mmm (No. 123)
Asymmetric unit:
Hf: 0.000 0.000 0.000
Tl: 0.500 0.500 0.500
Cu: 0.000 0.000 0.500
Ag: 0.000 0.500 0.000

Its volume is 145.67 Å³/f.u. The formation enthalpy at 0 K comes out at 4.9 eV/f.u.

Entry 13:
Here is an optimized crystal structure of HfZrCuAg from the Alexandria database. Energies are from PBE-GGA.

Cell lengths 6.708, 6.708, 6.708 Å; angles 90.00, 90.00, 90.00 degrees
Space group F-43m (No. 216)
Asymmetric unit:
Hf: 0.000 0.000 0.000
Zr: 0.000 0.000 0.500
Cu: 0.250 0.250 0.750
Ag: 0.250 0.250 0.250

Its volume is 75.45 Å³/f.u. The formation enthalpy at 0 K comes out at 0.1 eV/f.u.

Entry 14:
Here is an optimized crystal structure of CuAg2Hg from the Alexandria database. Energies are from PBE-GGA.

Cell lengths 7.489, 7.489, 5.474 Å; angles 90.00, 90.00, 90.00 degrees
Space group I-42d (No. 122)
Asymmetric unit:
Cu: 0.000 0.000 0.000
Ag: 0.221 0.250 0.125
Hg: 0.000 0.000 0.500

Its volume is 76.76 Å³/f.u. The formation enthalpy at 0 K comes out at 1.1 eV/f.u.

Entry 15:
Here is an optimized crystal structure of CuAgHg2 from the Alexandria database. Energies are from PBE-GGA.

Cell lengths 4.008, 4.334, 4.344 Å; angles 90.00, 90.00, 90.00 degrees
Space group Pmmm (No. 47)
Asymmetric unit:
Cu: 0.000 0.000 0.000
Ag: 0.000 0.500 0.500
Hg: 0.500 0.000 0.500
Hg: 0.500 0.500 0.000

Its volume is 75.46 Å³/f.u. The formation enthalpy at 0 K comes out at 0.7 eV/f.u. Its energy above the most stable polymorph in this dataset is 55 meV per atom.

Entry 16:
Here is an optimized crystal structure of CuAg2Hg from the Alexandria database. Energies are from PBE-GGA.

Cell lengths 6.567, 6.567, 6.567 Å; angles 90.00, 90.00, 90.00 degrees
Space group F-43m (No. 216)
Asymmetric unit:
Cu: 0.000 0.000 0.000
Ag: 0.000 0.000 0.500
Ag: 0.250 0.250 0.250
Hg: 0.250 0.250 0.750

Its volume is 70.82 Å³/f.u. The formation enthalpy at 0 K comes out at 0.6 eV/f.u.

Entry 17:
Here is an optimized crystal structure of CuAgHg2 from the Alexandria database. Energies are from PBE-GGA.

Cell lengths 4.479, 4.479, 7.509 Å; angles 90.00, 90.00, 90.00 degrees
Space group I4/mmm (No. 139)
Asymmetric unit:
Cu: 0.000 0.000 0.000
Ag: 0.000 0.000 0.500
Hg: 0.000 0.500 0.250

Its volume is 75.31 Å³/f.u. The formation enthalpy at 0 K comes out at 0.7 eV/f.u. Its energy above the most stable polymorph in this dataset is 51 meV per atom.

Entry 18:
Here is an optimized crystal structure of CuAgHg2 from the Alexandria database. Energies are from PBE-GGA.

Cell lengths 3.174, 3.297, 7.159 Å; angles 90.00, 90.00, 90.00 degrees
Space group Pmmm (No. 47)
Asymmetric unit:
Cu: 0.000 0.000 0.000
Ag: 0.000 0.000 0.500
Hg: 0.500 0.500 0.227

Its volume is 74.90 Å³/f.u. The formation enthalpy at 0 K comes out at 0.6 eV/f.u. Its energy above the most stable polymorph in this dataset is 27 meV per atom.

Entry 19:
Here is an optimized crystal structure of CuAg2Hg from the Alexandria database. Energies are from PBE-GGA.

Cell lengths 3.090, 4.757, 9.566 Å; angles 90.00, 90.00, 90.00 degrees
Space group Immm (No. 71)
Asymmetric unit:
Cu: 0.000 0.000 0.000
Ag: 0.000 0.500 0.269
Hg: 0.000 0.000 0.500

Its volume is 70.32 Å³/f.u. The formation enthalpy at 0 K comes out at 0.5 eV/f.u.

Entry 20:
Here is an optimized crystal structure of CuAg14Hg from the Alexandria database. Energies are from PBE-GGA.

Cell lengths 9.517, 5.887, 10.266 Å; angles 90.00, 90.00, 90.00 degrees
Space group Amm2 (No. 38)
Asymmetric unit:
Cu: 0.000 0.000 0.000
Ag: 0.000 0.249 0.751
Ag: 0.246 0.000 0.165
Ag: 0.248 0.246 0.917
Ag: 0.253 0.000 0.668
Ag: 0.500 0.000 0.332
Ag: 0.500 0.000 0.834
Ag: 0.500 0.249 0.082
Hg: 0.000 0.000 0.502

Its volume is 287.60 Å³/f.u. The formation enthalpy at 0 K comes out at 0.8 eV/f.u.

Entry 21:
Here is an optimized crystal structure of CuAgHg2 from the Alexandria database. Energies are from PBE-GGA.

Cell lengths 3.917, 4.515, 8.595 Å; angles 90.00, 90.00, 90.00 degrees
Space group Immm (No. 71)
Asymmetric unit:
Cu: 0.000 0.000 0.000
Ag: 0.000 0.000 0.500
Hg: 0.000 0.500 0.269

Its volume is 76.00 Å³/f.u. The formation enthalpy at 0 K comes out at 0.7 eV/f.u. Its energy above the most stable polymorph in this dataset is 57 meV per atom.

Entry 22:
Here is an optimized crystal structure of CuAgHg2 from the Alexandria database. Energies are from PBE-GGA.

Cell lengths 6.720, 6.720, 6.720 Å; angles 90.00, 90.00, 90.00 degrees
Space group F-43m (No. 216)
Asymmetric unit:
Cu: 0.000 0.000 0.000
Ag: 0.250 0.250 0.750
Hg: 0.000 0.000 0.500
Hg: 0.250 0.250 0.250

Its volume is 75.87 Å³/f.u. The formation enthalpy at 0 K comes out at 0.9 eV/f.u. Its energy above the most stable polymorph in this dataset is 102 meV per atom.

Entry 23:
Here is an optimized crystal structure of CuAg2Hg from the Alexandria database. Energies are from PBE-GGA.

Cell lengths 4.160, 4.160, 8.131 Å; angles 90.00, 90.00, 90.00 degrees
Space group I-4m2 (No. 119)
Asymmetric unit:
Cu: 0.000 0.000 0.000
Ag: 0.000 0.000 0.500
Ag: 0.000 0.500 0.250
Hg: 0.000 0.500 0.750

Its volume is 70.36 Å³/f.u. The formation enthalpy at 0 K comes out at 0.5 eV/f.u.

Entry 24:
Here is an optimized crystal structure of CuAgHg2 from the Alexandria database. Energies are from PBE-GGA.

Cell lengths 3.1139, 3.1139, 27.5277 Å; angles 90.00, 90.00, 120.00 degrees
Space group R-3m (No. 166, hexagonal axes)
Asymmetric unit:
Cu: 0.0000 0.0000 0.0000
Ag: 0.0000 0.0000 0.5000
Hg: 0.0000 0.0000 0.2555

Its volume is 77.05 Å³/f.u. The formation enthalpy at 0 K comes out at 0.7 eV/f.u. Its energy above the most stable polymorph in this dataset is 37 meV per atom.

Entry 25:
Here is an optimized crystal structure of CuAgHg2 from the Alexandria database. Energies are from PBE-GGA.

Cell lengths 9.776, 2.991, 5.589 Å; angles 90.00, 106.86, 90.00 degrees
Space group C2/m (No. 12)
Asymmetric unit:
Cu: 0.000 0.000 0.000
Ag: 0.000 0.500 0.500
Hg: 0.235 0.500 0.239

Its volume is 78.22 Å³/f.u. The formation enthalpy at 0 K comes out at 0.8 eV/f.u. Its energy above the most stable polymorph in this dataset is 59 meV per atom.

Entry 26:
Here is an optimized crystal structure of CuAgHg2 from the Alexandria database. Energies are from PBE-GGA.

Cell lengths 3.8307, 3.8307, 20.2555 Å; angles 90.00, 90.00, 120.00 degrees
Space group R3m (No. 160, hexagonal axes)
Asymmetric unit:
Cu: 0.0000 0.0000 0.0000
Ag: 0.0000 0.0000 0.1654
Hg: 0.0000 0.0000 0.4077
Hg: 0.0000 0.0000 0.5908

Its volume is 85.80 Å³/f.u. The formation enthalpy at 0 K comes out at 1.0 eV/f.u. Its energy above the most stable polymorph in this dataset is 118 meV per atom.

Entry 27:
Here is an optimized crystal structure of Cu2AgHg2 from the Alexandria database. Energies are from PBE-GGA.

Cell lengths 7.102, 7.102, 3.500 Å; angles 90.00, 90.00, 90.00 degrees
Space group P4/mbm (No. 127)
Asymmetric unit:
Cu: 0.126 0.374 0.000
Ag: 0.000 0.000 0.000
Hg: 0.172 0.672 0.500

Its volume is 88.25 Å³/f.u. The formation enthalpy at 0 K comes out at 0.8 eV/f.u. Its energy above the most stable polymorph in this dataset is 0 meV per atom.